1.
This record from Alexandria describes a geometry-optimized Tb3Tm4Zr structure. The functional is PBE-GGA.

Results
Total magnetization (μB/cell): 0.00
Polymorph energy (0 for the lowest one) (eV per atom): 0.000
Total DFT energy (no corrections) (eV/cell): -38.71
Space-group type: C2/m (12)
Formation energy (eV/atom): 0.20
N(E_F) (states/eV/atom): 1.63

a = 3.3754 Å, b = 6.6244 Å, c = 11.4065 Å
α = 73.07°, β = 98.51°, γ = 90.00°
With the nearest neighbours (Å) after each atom.
Element x y z (fractional)
Tm1 0.7410 0.7620 0.4819  9 Tm 3.38-3.77, 3 Tb 3.46-3.48
Tm2 0.2590 0.2380 0.5181  9 Tm 3.38-3.77, 3 Tb 3.46-3.48
Tm3 0.1206 0.1128 0.2412  2 Tb 3.12-3.14, 5 Tm 3.38-3.46, 2 Zr 3.47
Tm4 0.8794 0.8872 0.7588  2 Tb 3.12-3.14, 5 Tm 3.38-3.46, 2 Zr 3.47
Tb1 0.0000 0.5000 0.0000  4 Tb 3.13-3.38, 2 Tm 3.14
Tb2 0.1209 0.6412 0.2419  4 Tm 3.12-3.48, 3 Tb 3.13-3.38, 2 Zr 3.48
Tb3 0.8791 0.3588 0.7581  4 Tm 3.12-3.48, 3 Tb 3.13-3.38, 2 Zr 3.48
Zr1 0.5000 0.0000 0.0000  2 Zr 3.38, 4 Tm 3.47, 8 Tb 3.48-3.72


2.
This record from Alexandria describes a geometry-optimized PaTc2BrO8 structure. The functional is PBE-GGA.

Results
Formation energy (no corrections) (kJ/mol of atoms): -172
Total magnetization (μB/cell): 0.94
Total DFT energy (no corrections) (eV/cell): -92.92
Space-group type: P-3m1 (164)
N(E_F) (states/eV/atom): 0.61

a = 6.5510 Å, b = 6.5510 Å, c = 6.1329 Å
α = 90.00°, β = 90.00°, γ = 120.00°
With the nearest neighbours (Å) after each atom.
Element x y z (fractional)
Pa1 0.0000 0.0000 0.0000  6 O 2.25
Tc1 0.3333 0.6667 0.7645  4 O 1.71-1.80
Tc2 0.6667 0.3333 0.2355  4 O 1.71-1.80
Br1 0.0000 0.0000 0.5000  2 Pa 3.07, 6 O 3.09
O1 0.1855 0.3709 0.8699  1 Tc 1.80
O2 0.1855 0.8145 0.8699  1 Tc 1.80
O3 0.6291 0.8145 0.8699  1 Tc 1.80
O4 0.3709 0.1855 0.1301  1 Tc 1.80
O5 0.6667 0.3333 0.5145  1 Tc 1.71
O6 0.3333 0.6667 0.4855  1 Tc 1.71
O7 0.8145 0.6291 0.1301  1 Tc 1.80
O8 0.8145 0.1855 0.1301  1 Tc 1.80


3.
This record from Alexandria describes a geometry-optimized LaTaS4 structure. The functional is PBE-GGA.

Results
Formation energy (no corrections) (kJ/mol of atoms): -117
Total magnetization (μB/cell): 0.00
Polymorph energy (0 for the lowest one) (eV per atom): 0.213
Total DFT energy (no corrections) (eV/cell): -40.55
Space-group type: Cmmm (65)
N(E_F) (states/eV/atom): 0.10

a = 3.8021 Å, b = 6.4189 Å, c = 6.4189 Å
α = 88.94°, β = 90.00°, γ = 90.00°
With the nearest neighbours (Å) after each atom.
Element x y z (fractional)
La1 0.0000 0.5000 0.5000  6 S 2.81-2.96
Ta1 0.5000 0.0000 0.0000  6 S 2.43-2.50
S1 0.5000 0.2705 0.7295  1 Ta 2.43
S2 0.0000 0.8235 0.8235  2 Ta 2.50
S3 0.0000 0.1765 0.1765  2 Ta 2.50
S4 0.5000 0.7295 0.2705  1 Ta 2.43


4.
This record from Alexandria describes a geometry-optimized CdSn2As structure. The functional is PBE-GGA.

Results
Total magnetization (μB/cell): 0.00
Polymorph energy (0 for the lowest one) (eV per atom): 0.065
Total DFT energy (no corrections) (eV/cell): -26.50
Space-group type: I-42d (122)
Formation energy (eV/atom): 0.08
N(E_F) (states/eV/atom): 0.37

a = 6.6082 Å, b = 6.6082 Å, c = 7.6656 Å
α = 64.47°, β = 64.47°, γ = 90.00°
With the nearest neighbours (Å) after each atom.
Element x y z (fractional)
As1 0.5000 0.5000 0.0000  4 Sn 2.73
As2 0.2500 0.7500 0.5000  4 Sn 2.73
Sn1 0.6091 0.1250 0.2500  2 As 2.73, 2 Cd 2.85
Sn2 0.1409 0.6250 0.2500  2 As 2.73, 2 Cd 2.85
Sn3 0.3750 0.3909 0.7500  2 As 2.73, 2 Cd 2.85
Sn4 0.8750 0.8591 0.7500  2 As 2.73, 2 Cd 2.85
Cd1 0.0000 0.0000 0.0000  4 Sn 2.85
Cd2 0.7500 0.2500 0.5000  4 Sn 2.85


5.
This record from Alexandria describes a geometry-optimized CsBaCaZr2 structure. The functional is PBE-GGA.

Results
Total magnetization (μB/cell): 0.00
Total DFT energy (no corrections) (eV/cell): -14.82
Space-group type: P4/mmm (123)
Formation energy (eV/atom): 1.41
N(E_F) (states/eV/atom): 1.21

a = 5.6274 Å, b = 6.4230 Å, c = 5.6274 Å
α = 90.00°, β = 90.00°, γ = 90.00°
With the nearest neighbours (Å) after each atom.
Element x y z (fractional)
Cs1 0.0000 0.5000 0.0000  2 Ba 3.21
Ca1 0.5000 0.5000 0.5000  4 Cs 3.98, 8 Zr 4.27
Ba1 0.0000 0.0000 0.0000  4 Zr 2.81
Zr1 0.0000 0.0000 0.5000  2 Ba 2.81
Zr2 0.5000 0.0000 0.0000  2 Ba 2.81


6.
This record from Alexandria describes a geometry-optimized RbAs structure. The functional is PBE-GGA.

Results
Total magnetization (μB/cell): 0.00
Polymorph energy (0 for the lowest one) (eV per atom): 0.089
Total DFT energy (no corrections) (eV/cell): -37.82
Space-group type: Imm2 (44)
Formation energy (eV/atom): -0.34

a = 14.3552 Å, b = 5.5219 Å, c = 6.9011 Å
α = 90.00°, β = 90.00°, γ = 90.00°
With the nearest neighbours (Å) after each atom.
Element x y z (fractional)
Rb1 0.7951 0.0000 0.1698  5 As 3.56-3.66
Rb2 0.2049 0.0000 0.1698  5 As 3.56-3.66
Rb3 0.2951 0.5000 0.6698  5 As 3.56-3.66
Rb4 0.7049 0.5000 0.6698  5 As 3.56-3.66
Rb5 0.0000 0.5000 0.8396  6 As 3.60-3.69
Rb6 0.5000 0.0000 0.3396  6 As 3.60-3.69
As1 0.8617 0.0000 0.6687  1 As 2.35
As2 0.1383 0.0000 0.6687  1 As 2.35
As3 0.3617 0.5000 0.1687  1 As 2.35
As4 0.6383 0.5000 0.1687  1 As 2.35
As5 0.0000 0.0000 0.4853  2 As 2.35
As6 0.5000 0.5000 0.9853  2 As 2.35


7.
This record from Alexandria describes a geometry-optimized RbPdIO2 structure. The functional is PBE-GGA.

Results
Formation energy (no corrections) (kJ/mol of atoms): -11
Total magnetization (μB/cell): 1.98
Polymorph energy (0 for the lowest one) (eV per atom): 0.000
Total DFT energy (no corrections) (eV/cell): -18.19
Space-group type: P4/mmm (123)
N(E_F) (states/eV/atom): 1.04

a = 4.4548 Å, b = 4.4548 Å, c = 5.5130 Å
α = 90.00°, β = 90.00°, γ = 90.00°
With the nearest neighbours (Å) after each atom.
Element x y z (fractional)
I1 0.0000 0.0000 0.5000  2 Pd 2.76
O1 0.0000 0.5000 0.0000  2 Pd 2.23
O2 0.5000 0.0000 0.0000  2 Pd 2.23
Rb1 0.5000 0.5000 0.5000  4 I 3.15
Pd1 0.0000 0.0000 0.0000  4 O 2.23


8.
This record from Alexandria describes a geometry-optimized Ta3Os5 structure. The functional is PBE-GGA.

Results
Total magnetization (μB/cell): 0.00
Polymorph energy (0 for the lowest one) (eV per atom): 0.000
Total DFT energy (no corrections) (eV/cell): -93.46
Space-group type: Cmmm (65)
Formation energy (eV/atom): -0.22
N(E_F) (states/eV/atom): 0.66

a = 5.5215 Å, b = 5.5215 Å, c = 4.1749 Å
α = 90.00°, β = 90.00°, γ = 82.48°
With the nearest neighbours (Å) after each atom.
Element x y z (fractional)
Os1 0.0000 0.0000 0.0000  4 Ta 2.75, 8 Os 2.76-2.90
Os2 0.0000 0.5000 0.0000  6 Os 2.76-2.95, 6 Ta 2.76-2.78
Os3 0.5000 0.0000 0.0000  6 Ta 2.76-2.78, 6 Os 2.76-2.95
Os4 0.7227 0.2773 0.5000  6 Ta 2.64-2.86, 6 Os 2.90-2.95
Os5 0.2773 0.7227 0.5000  6 Ta 2.64-2.86, 6 Os 2.90-2.95
Ta1 0.5000 0.5000 0.0000  8 Os 2.64-2.76
Ta2 0.2160 0.2160 0.5000  10 Os 2.70-2.86
Ta3 0.7840 0.7840 0.5000  10 Os 2.70-2.86